# 1
VASP calculation (GGA-PBE) on a geometry-optimized CsTaSe2S structure.

Structure (POSCAR):
```
CsTaSe2S
1.0
-0.232 4.024 -3.272
-4.012 1.937 2.666
3.102 2.499 2.853
Cs Se S Ta
1 2 1 1
Direct
0.500 0.500 0.500
0.000 0.500 0.000
0.500 0.000 0.000
0.000 0.000 0.500
0.000 0.000 0.000
```

Formation energy without anion corrections in eV per atom: -0.84



# 2
VASP calculation (GGA-PBE) on a geometry-optimized RbIrNO2 structure.

Structure (POSCAR):
```
RbIrNO2
1.0
4.133 0.000 0.000
0.000 4.133 0.000
0.000 0.000 3.807
Rb N Ir O
1 1 1 2
Direct
0.500 0.500 0.500
0.000 0.000 0.500
0.000 0.000 0.000
0.500 0.000 0.000
0.000 0.500 0.000
```

Formation energy without anion corrections in eV per atom: -0.22



# 3
VASP calculation (GGA-PBE) on a geometry-optimized HfTaNb2N structure.

Structure (POSCAR):
```
HfTaNb2N
1.0
4.407 0.000 0.000
0.000 4.407 0.000
0.000 0.000 4.238
Hf Nb N Ta
1 2 1 1
Direct
0.500 0.500 0.500
0.000 0.500 0.000
0.500 0.000 0.000
0.000 0.000 0.000
0.000 0.000 0.500
```

Formation energy without anion corrections in eV per atom: -0.49



# 4
VASP calculation (GGA-PBE) on a geometry-optimized BPt3Se structure.

Structure (POSCAR):
```
BPt3Se
1.0
-1.330 3.115 2.588
-4.041 -0.846 -1.059
-0.261 -2.784 3.217
Se Pt B
1 3 1
Direct
0.500 0.500 0.500
0.500 0.000 0.000
0.000 0.000 0.500
0.000 0.500 0.000
0.000 0.000 0.000
```

Formation energy without anion corrections in eV per atom: 0.16



# 5
VASP calculation (GGA-PBE) on a geometry-optimized Dy12Mg3H5 structure.

Structure (POSCAR):
```
Dy12Mg3H5
1.0
-12.544 -2.439 4.383
6.616 -11.689 -1.452
6.475 7.756 8.968
Dy H Mg
48 20 12
Direct
0.307 0.799 0.404
0.403 0.395 0.596
0.201 0.693 0.096
0.492 0.799 0.895
0.597 0.605 0.404
0.105 0.701 0.508
0.193 0.096 0.701
0.701 0.596 0.193
0.895 0.596 0.903
0.904 0.097 0.605
0.992 0.395 0.299
0.508 0.307 0.903
0.008 0.605 0.701
0.596 0.701 0.693
0.096 0.903 0.395
0.799 0.492 0.395
0.395 0.992 0.799
0.895 0.299 0.492
0.596 0.895 0.403
0.903 0.807 0.508
0.605 0.597 0.904
0.307 0.508 0.403
0.403 0.008 0.307
0.605 0.008 0.201
0.701 0.105 0.008
0.008 0.403 0.807
0.807 0.904 0.299
0.693 0.201 0.596
0.404 0.299 0.307
0.904 0.807 0.799
0.097 0.904 0.105
0.492 0.693 0.097
0.404 0.105 0.597
0.096 0.193 0.201
0.299 0.404 0.807
0.799 0.307 0.904
0.693 0.492 0.597
0.903 0.096 0.895
0.597 0.992 0.693
0.395 0.403 0.096
0.299 0.895 0.992
0.992 0.597 0.193
0.201 0.508 0.605
0.193 0.097 0.992
0.807 0.903 0.008
0.105 0.404 0.097
0.508 0.201 0.105
0.097 0.193 0.492
0.500 0.000 0.500
0.625 0.750 0.875
0.250 0.875 0.125
0.500 0.500 0.000
0.125 0.750 0.375
0.500 0.000 0.000
0.375 0.250 0.125
0.125 0.375 0.250
0.625 0.875 0.250
0.500 0.500 0.500
0.875 0.625 0.750
0.750 0.125 0.875
0.000 0.500 0.500
0.000 0.000 0.000
0.875 0.250 0.625
0.000 0.000 0.500
0.250 0.375 0.625
0.375 0.125 0.750
0.750 0.625 0.375
0.000 0.500 0.000
0.625 0.250 0.375
0.375 0.750 0.625
0.375 0.625 0.250
0.250 0.625 0.875
0.125 0.250 0.875
0.125 0.875 0.750
0.750 0.875 0.625
0.625 0.375 0.750
0.750 0.375 0.125
0.250 0.125 0.375
0.875 0.125 0.250
0.875 0.750 0.125
```

Energy in eV per atom: -3.94



# 6
VASP calculation (GGA-PBE) on a geometry-optimized KSrSn2 structure.

Structure (POSCAR):
```
KSrSn2
1.0
-0.164 -6.107 -7.162
8.998 -2.203 1.672
3.461 -6.517 -0.708
Sr Sn K
2 4 2
Direct
0.750 0.250 0.500
0.000 0.000 0.000
0.121 0.625 0.250
0.375 0.371 0.750
0.875 0.879 0.750
0.629 0.125 0.250
0.500 0.500 0.000
0.250 0.750 0.500
```

Energy in eV per atom: -2.69



# 7
VASP calculation (GGA-PBE) on a geometry-optimized NpU3N4 structure.

Structure (POSCAR):
```
NpU3N4
1.0
5.964 0.058 0.000
-2.035 5.594 0.000
0.000 0.000 6.881
N U Np
8 6 2
Direct
0.000 0.746 0.873
0.000 0.254 0.127
0.997 0.748 0.377
0.497 0.748 0.623
0.503 0.252 0.377
0.500 0.254 0.873
0.003 0.252 0.623
0.500 0.746 0.127
0.250 0.000 0.625
0.250 0.500 0.875
0.750 0.000 0.375
0.250 0.500 0.374
0.750 0.500 0.626
0.750 0.500 0.125
0.750 0.000 0.875
0.250 0.000 0.125
```

Formation energy without anion corrections in eV per atom: -1.27



# 8
VASP calculation (GGA-PBE) on a geometry-optimized ZnCrCd2 structure.

Structure (POSCAR):
```
ZnCrCd2
1.0
5.084 -0.007 -0.019
4.165 2.915 -0.019
0.952 0.299 5.022
Cd Zn Cr
2 1 1
Direct
0.501 0.501 0.500
0.999 0.999 0.000
0.250 0.250 0.250
0.750 0.750 0.750
```

Energy in eV per atom: -2.89



# 9
VASP calculation (GGA-PBE) on a geometry-optimized ZnRhBr3 structure.

Structure (POSCAR):
```
ZnRhBr3
1.0
5.129 0.000 0.000
0.000 5.129 0.000
0.000 0.000 5.129
Br Rh Zn
3 1 1
Direct
0.000 0.500 0.000
0.000 0.000 0.500
0.500 0.000 0.000
0.500 0.500 0.500
0.000 0.000 0.000
```

Formation energy without anion corrections in eV per atom: 0.32



# 10
VASP calculation (GGA-PBE) on a geometry-optimized SrLuAlTl structure.

Structure (POSCAR):
```
SrLuAlTl
1.0
5.411 0.000 0.000
2.705 4.686 0.000
2.705 1.562 4.418
Al Lu Sr Tl
1 1 1 1
Direct
0.500 0.500 0.500
0.250 0.250 0.250
0.750 0.750 0.750
0.000 0.000 0.000
```

Energy in eV per atom: -3.27



# 11
VASP calculation (GGA-PBE) on a geometry-optimized Mo2AsOs structure.

Structure (POSCAR):
```
Mo2AsOs
1.0
4.877 0.020 0.000
-2.235 4.335 0.000
0.000 0.000 2.890
Os Mo As
1 2 1
Direct
0.500 0.000 0.500
0.500 0.500 0.000
0.000 0.000 0.000
0.000 0.500 0.500
```

Energy in eV per atom: -9.15



# 12
VASP calculation (GGA-PBE) on a geometry-optimized Tb11Tl9Hg4 structure.

Structure (POSCAR):
```
Tb11Tl9Hg4
1.0
3.787 0.000 0.000
0.000 12.604 -5.354
0.000 0.030 13.694
Hg Tb Tl
4 11 9
Direct
0.500 0.745 0.550
0.500 0.550 0.745
0.500 0.450 0.255
0.500 0.255 0.450
0.000 0.412 0.067
0.000 0.645 0.355
0.000 0.588 0.933
0.000 0.837 0.163
0.000 0.933 0.588
0.000 0.281 0.281
0.000 0.719 0.719
0.000 0.067 0.412
0.000 0.163 0.837
0.000 0.000 0.000
0.000 0.355 0.645
0.500 0.144 0.632
0.500 0.209 0.055
0.500 0.856 0.368
0.500 0.055 0.209
0.500 0.368 0.856
0.500 0.791 0.945
0.500 0.500 0.500
0.500 0.945 0.791
0.500 0.632 0.144
```

Energy in eV per atom: -3.42



# 13
VASP calculation (GGA-PBE) on a geometry-optimized NdDy3B4O12 structure.

Structure (POSCAR):
```
NdDy3B4O12
1.0
-3.442 -3.704 -4.137
5.313 -3.653 1.055
-3.310 -0.703 5.589
O Nd Dy B
12 1 3 4
Direct
0.027 0.635 0.826
0.174 0.365 0.973
0.365 0.973 0.174
0.364 0.636 0.500
0.636 0.500 0.364
0.100 0.900 0.500
0.826 0.027 0.635
0.635 0.826 0.027
0.900 0.500 0.100
0.500 0.100 0.900
0.500 0.364 0.636
0.973 0.174 0.365
0.000 0.000 0.000
0.535 0.465 0.000
0.000 0.535 0.465
0.465 0.000 0.535
0.500 0.500 0.500
0.036 0.500 0.964
0.964 0.036 0.500
0.500 0.964 0.036
```

Formation energy without anion corrections in eV per atom: -3.07



# 14
VASP calculation (GGA-PBE) on a geometry-optimized Al2ZnSe structure.

Structure (POSCAR):
```
Al2ZnSe
1.0
3.349 0.000 0.000
0.000 3.350 0.000
0.000 0.000 6.442
Al Zn Se
2 1 1
Direct
0.000 0.000 0.503
0.000 0.000 0.997
0.500 0.500 0.750
0.500 0.500 0.250
```

Formation energy without anion corrections in eV per atom: 0.05



# 15
VASP calculation (GGA-PBE) on a geometry-optimized LaYRu3 structure.

Structure (POSCAR):
```
LaYRu3
1.0
4.897 0.000 0.000
0.000 4.897 0.000
0.000 0.000 4.897
Y Ru La
1 3 1
Direct
0.000 0.000 0.000
0.000 0.000 0.500
0.000 0.500 0.000
0.500 0.000 0.000
0.500 0.500 0.500
```

Energy in eV per atom: -6.75



# 16
VASP calculation (GGA-PBE) on a geometry-optimized In2TcTe structure.

Structure (POSCAR):
```
In2TcTe
1.0
-4.039 -8.623 3.703
-1.003 -9.623 3.282
-1.829 -8.075 5.986
In Te Tc
2 1 1
Direct
0.514 0.514 0.514
0.986 0.986 0.986
0.750 0.750 0.750
0.250 0.250 0.250
```

Formation energy without anion corrections in eV per atom: 0.38



# 17
VASP calculation (GGA-PBE) on a geometry-optimized TbCe2Ho6 structure.

Structure (POSCAR):
```
TbCe2Ho6
1.0
-1.562 -0.034 -3.045
3.249 -9.480 2.275
-4.920 -6.327 6.432
Ho Ce Tb
6 2 1
Direct
0.500 0.667 0.333
0.833 0.333 0.000
0.500 0.333 0.667
0.167 0.667 0.000
0.833 0.000 0.333
0.167 0.000 0.667
0.333 0.667 0.667
0.667 0.333 0.333
0.000 0.000 0.000
```

Energy in eV per atom: -4.79



# 18
VASP calculation (GGA-PBE) on a geometry-optimized HIrO3 structure.

Structure (POSCAR):
```
HIrO3
1.0
-2.015 3.133 -0.616
-1.685 -0.425 3.351
2.711 2.064 1.625
Ir H O
1 1 3
Direct
0.000 0.000 0.000
0.500 0.500 0.500
0.500 0.000 0.000
0.000 0.500 0.000
0.000 0.000 0.500
```

Energy in eV per atom: -5.22



# 19
VASP calculation (GGA-PBE) on a geometry-optimized ReAsN2O structure.

Structure (POSCAR):
```
ReAsN2O
1.0
3.872 0.000 0.000
0.000 3.872 0.000
0.000 0.000 3.588
O N As Re
1 2 1 1
Direct
0.000 0.000 0.500
0.000 0.500 0.000
0.500 0.000 0.000
0.000 0.000 0.000
0.500 0.500 0.500
```

Formation energy without anion corrections in eV per atom: 1.33



# 20
VASP calculation (GGA-PBE) on a geometry-optimized Ce2Sm4N structure.

Structure (POSCAR):
```
Ce2Sm4N
1.0
-1.481 -0.069 -4.655
-4.104 -2.287 1.339
-6.728 6.550 -0.520
Sm Ce N
4 2 1
Direct
0.138 0.138 0.725
0.000 0.500 0.000
0.862 0.862 0.275
0.500 0.000 0.000
0.322 0.322 0.357
0.678 0.678 0.643
0.000 0.000 0.000
```

Formation energy without anion corrections in eV per atom: -0.12